DFT (SCAN) results for YTlOs2 at its PBEsol-relaxed geometry.

The structure in POSCAR format:
```
YTlOs2
1.0
3.332 0.000 0.000
0.000 4.436 0.000
0.000 0.000 4.900
Y Tl Os
1 1 2
Cartesian
0.000 2.218 2.450 Y
1.666 2.218 0.000 Tl
1.666 0.000 2.450 Os
0.000 0.000 0.000 Os
```

Output
Calculated formation energy: 0.6301 eV per atom
Space-group type: Pmmm (47)
Energy above the lowest structure with this stoichiometry: 0.297 eV/atom